(1)
Li3TcO4: relaxed, GGA-PBE.

Cell and atoms, written as POSCAR:
```
Li3TcO4
1.0
5.098 0.000 0.000
0.000 5.871 0.000
-1.769 0.000 4.800
Li Tc O
6 2 8
direct
0.000 0.104 0.250
0.000 0.369 0.750
0.000 0.631 0.250
0.000 0.896 0.750
0.500 0.125 0.750
0.500 0.875 0.250
0.500 0.353 0.250
0.500 0.647 0.750
0.256 0.137 0.017
0.256 0.863 0.517
0.272 0.387 0.501
0.272 0.613 0.001
0.728 0.387 0.999
0.728 0.613 0.499
0.744 0.137 0.483
0.744 0.863 0.983
```

* space-group type: P2/c
* theoretical density: 4.23 g/cm³

(2)
Li3TcO4: relaxed, GGA-PBE.

Cell and atoms, written as POSCAR:
```
Li3TcO4
1.0
4.850 -1.477 0.000
4.850 1.477 0.000
-1.060 0.000 4.891
Li Tc O
3 1 4
direct
0.000 0.000 0.000
0.256 0.256 0.766
0.744 0.744 0.234
0.500 0.500 0.500
0.119 0.119 0.382
0.382 0.382 0.147
0.618 0.618 0.853
0.881 0.881 0.618
```

* space-group type: C2/m
* theoretical density: 4.33 g/cm³

On energetic grounds, (1) is preferred over the next structure by 1.7 kJ/mol of atoms.

(1)
Tb: relaxed, GGA-PBE.

Cell and atoms, written as POSCAR:
```
Tb
1.0
0.000 2.510 2.510
2.510 0.000 2.510
2.510 2.510 0.000
Tb
1
direct
0.000 0.000 0.000
```

* space-group type: Fm-3m
* theoretical density: 8.34 g/cm³

(2)
Tb: relaxed, GGA-PBE.

Cell and atoms, written as POSCAR:
```
Tb
1.0
6.416 0.000 0.000
0.000 6.416 0.000
0.000 0.000 6.416
Tb
8
direct
0.000 0.000 0.000
0.000 0.250 0.500
0.000 0.750 0.500
0.250 0.500 0.000
0.500 0.000 0.250
0.500 0.000 0.750
0.500 0.500 0.500
0.750 0.500 0.000
```

* space-group type: Pm-3n
* theoretical density: 7.99 g/cm³

On energetic grounds, (1) is preferred over the next structure by 23.8 kJ/mol of atoms.

(1)
MgZnTeO: relaxed, GGA-PBE.

Cell and atoms, written as POSCAR:
```
MgZnTeO
1.0
3.407 0.000 0.000
0.000 3.407 0.000
0.000 0.000 11.589
Mg Zn Te O
2 2 2 2
direct
0.250 0.250 0.085
0.750 0.750 0.915
0.250 0.750 0.500
0.750 0.250 0.500
0.250 0.250 0.691
0.750 0.750 0.309
0.250 0.250 0.916
0.750 0.750 0.084
```

* space-group type: P4/nmm
* theoretical density: 5.76 g/cm³

(2)
MgZnTeO: relaxed, GGA-PBE.

Cell and atoms, written as POSCAR:
```
MgZnTeO
1.0
8.062 0.000 0.000
0.000 8.531 0.000
0.000 0.000 8.314
Mg Zn Te O
8 8 8 8
direct
0.000 0.000 0.250
0.000 0.000 0.750
0.000 0.500 0.250
0.000 0.500 0.750
0.500 0.000 0.250
0.500 0.000 0.750
0.500 0.500 0.250
0.500 0.500 0.750
0.250 0.250 0.249
0.250 0.250 0.749
0.250 0.750 0.249
0.250 0.750 0.749
0.750 0.250 0.251
0.750 0.250 0.751
0.750 0.750 0.251
0.750 0.750 0.751
0.000 0.250 0.004
0.000 0.250 0.504
0.000 0.750 0.496
0.000 0.750 0.996
0.500 0.250 0.496
0.500 0.250 0.996
0.500 0.750 0.004
0.500 0.750 0.504
0.250 0.000 0.250
0.250 0.000 0.750
0.250 0.500 0.250
0.250 0.500 0.750
0.750 0.000 0.250
0.750 0.000 0.750
0.750 0.500 0.250
0.750 0.500 0.750
```

* space-group type: Pbca
* theoretical density: 5.42 g/cm³

On energetic grounds, (2) is preferred over the next structure by 24.4 kJ/mol of atoms.